First-principles (GGA-PBE) data for a relaxed structure of Sr2AlTl, as listed in Alexandria.

- V: 142.3 Å³/cell
- Density: 4.7 g/cm3
- SG: C2/m (12)
- Energy relative to the elements: -43 meV/atom
- Crystal system: monoclinic
- D(E_F): 3.8 states/eV per cell
- E_tot: -2.4113 eV per atom

extended XYZ file:
```
4
Lattice="5.669 -0.011 0.006 4.246 3.755 0.006 1.415 0.534 6.670" Properties=species:S:1:pos:R:3 pbc="T T T"
Al 2.832 1.070 1.670
Sr 5.689 2.148 3.290
Sr 9.891 3.735 0.062
Tl 8.497 3.209 5.011
```

---

First-principles (GGA-PBE) data for a relaxed structure of Sr2AlTl6, as listed in Alexandria.

- V: 279.3 Å³/cell
- Density: 8.5 g/cm3
- SG: R-3m (166)
- Energy relative to the elements: -162 meV/atom
- Crystal system: trigonal
- D(E_F): 5.0 states/eV per cell
- E_tot: -2.5289 eV per atom

extended XYZ file:
```
9
Lattice="-5.851 -2.108 -3.883 0.636 -5.381 -4.940 -3.082 -6.526 1.287" Properties=species:S:1:pos:R:3 pbc="T T T"
Tl -3.201 -9.722 -3.703
Tl -5.097 -4.294 -3.833
Tl -4.736 -7.267 -6.571
Tl -6.802 -7.905 -3.116
Tl -1.496 -6.110 -4.419
Tl -3.561 -6.749 -0.964
Al -4.149 -7.008 -3.768
Sr -6.217 -10.502 -5.646
Sr -2.080 -3.514 -1.889
```

---

First-principles (GGA-PBE) data for a relaxed structure of Sr2AlTl, as listed in Alexandria.

- V: 299.3 Å³/cell
- Density: 4.5 g/cm3
- SG: I-42d (122)
- Energy relative to the elements: 98 meV/atom
- Crystal system: tetragonal
- D(E_F): 10.0 states/eV per cell
- E_tot: -2.2703 eV per atom

extended XYZ file:
```
8
Lattice="8.942 0.000 0.000 0.000 8.942 0.000 4.471 4.471 3.744" Properties=species:S:1:pos:R:3 pbc="T T T"
Tl 8.942 4.471 1.872
Tl 0.000 0.000 0.000
Sr 6.645 2.235 0.936
Sr 11.177 11.116 2.808
Sr 2.297 6.706 0.936
Sr 6.706 6.767 2.808
Al 4.471 4.471 0.000
Al 4.471 8.942 1.872
```